(1)
First-principles (PBE) data for an optimized crystal structure of Na3PmBi2S6, as listed in Alexandria.

Geometry as POSCAR:
```
Na3PmBi2S6
1.0
7.076 -0.002 0.001
-3.538 6.128 0.001
-1.179 -2.042 6.757
S Na Bi Pm
6 3 2 1
Direct
0.746 0.746 0.236
0.411 0.078 0.235
0.589 0.922 0.765
0.922 0.589 0.765
0.078 0.411 0.235
0.254 0.254 0.764
0.171 0.829 0.500
0.500 0.500 0.500
0.829 0.171 0.500
0.334 0.666 0.000
0.666 0.334 0.000
0.000 0.000 0.000
```

## Properties
* formation energy (no corrections): -1.105 eV/atom

(2)
First-principles (PBE) data for an optimized crystal structure of Ti2Nb3Se8, as listed in Alexandria.

Geometry as POSCAR:
```
Ti2Nb3Se8
1.0
-3.385 5.253 0.518
-2.543 -0.976 -6.714
-2.534 -4.419 5.512
Nb Se Ti
3 8 2
Direct
0.000 0.714 0.000
0.000 0.286 0.000
0.500 0.000 0.000
0.120 0.376 0.751
0.909 0.115 0.230
0.418 0.864 0.252
0.091 0.885 0.770
0.880 0.624 0.249
0.582 0.136 0.748
0.582 0.612 0.748
0.418 0.388 0.252
0.302 0.223 0.445
0.698 0.777 0.555
```

## Properties
* formation energy (no corrections): -0.794 eV/atom

(3)
First-principles (PBE) data for an optimized crystal structure of Pm2In3Ga3, as listed in Alexandria.

Geometry as POSCAR:
```
Pm2In3Ga3
1.0
-2.155 3.311 2.003
-3.887 -2.314 -0.357
1.597 -3.955 8.257
Ga In Pm
3 3 2
Direct
0.500 0.500 0.759
0.500 0.000 0.000
0.500 0.500 0.241
0.500 0.000 0.500
0.000 0.500 0.000
0.000 0.500 0.500
0.000 0.000 0.757
0.000 0.000 0.243
```

## Properties
* energy of formation: -0.481 eV/atom

(4)
First-principles (PBE) data for an optimized crystal structure of GaTe3C, as listed in Alexandria.

Geometry as POSCAR:
```
GaTe3C
1.0
-2.341 -2.667 3.312
3.971 -0.018 2.792
-1.522 4.056 2.191
Te C Ga
3 1 1
Direct
0.500 0.000 0.000
0.000 0.500 0.000
0.000 0.000 0.500
0.000 0.000 0.000
0.500 0.500 0.500
```

## Properties
* formation energy (no corrections): 0.880 eV/atom
* distance to the lowest polymorph of the same formula: 0.0 kJ per mole of atoms

(5)
First-principles (PBE) data for an optimized crystal structure of LiNdPuCo, as listed in Alexandria.

Geometry as POSCAR:
```
LiNdPuCo
1.0
4.925 0.000 0.000
2.462 4.265 0.000
2.462 1.422 4.021
Nd Li Co Pu
1 1 1 1
Direct
0.750 0.750 0.750
0.500 0.500 0.500
0.000 0.000 0.000
0.250 0.250 0.250
```

## Properties
* energy of formation: 0.161 eV/atom

(6)
First-principles (PBE) data for an optimized crystal structure of ZnTePd2Se, as listed in Alexandria.

Geometry as POSCAR:
```
ZnTePd2Se
1.0
-2.992 3.461 1.169
-3.155 -1.454 -3.770
-2.213 -2.919 2.979
Pd Se Te Zn
2 1 1 1
Direct
0.000 0.000 0.500
0.500 0.000 0.000
0.500 0.500 0.500
0.000 0.500 0.000
0.000 0.000 0.000
```

## Properties
* formation energy (no corrections): 0.512 eV/atom

What did we get for theoretical density? Answer: 4.7 5.8 7.5 6.7 8.9 7.0 g/cm3, in the order shown.